(1)
The following is a DFT calculation (PBE) of an optimized crystal structure of LiAlCr2.

POSCAR file:
```
LiAlCr2
1.0
-0.4919 -3.9657 -0.1111
0.3061 -0.1078 2.4945
-4.8631 0.5624 1.4550
Al Cr Li
1 2 1
Direct
0.5000 0.7322 0.7481
0.5000 0.2351 0.2302
0.0000 0.0610 0.0228
0.0000 0.4717 0.4989
```


(2)
The following is a DFT calculation (PBE) of an optimized crystal structure of Ti5ZnNi3.

POSCAR file:
```
Ti5ZnNi3
1.0
5.3785 0.0000 0.0000
0.0000 8.1762 0.0000
0.0000 -4.0881 5.9905
Ti Ni Zn
10 6 2
Direct
0.7500 0.9958 0.3461
0.7500 0.6497 0.6539
0.2500 0.3503 0.3461
0.5000 0.3513 0.7026
0.5000 0.6487 0.2974
0.2500 0.7082 0.0000
0.0000 0.6487 0.2974
0.7500 0.2918 0.0000
0.0000 0.3513 0.7026
0.2500 0.0042 0.6539
0.2500 0.0381 0.3450
0.7500 0.3069 0.3450
0.7500 0.6540 0.0000
0.2500 0.6931 0.6550
0.2500 0.3460 0.0000
0.7500 0.9619 0.6550
0.5000 0.0000 0.0000
0.0000 0.0000 0.0000
```


(3)
The following is a DFT calculation (PBE) of an optimized crystal structure of Ce2As3IrRh4.

POSCAR file:
```
Ce2As3IrRh4
1.0
-3.5111 -1.5587 -1.1231
1.6229 -1.1540 -3.4718
2.9099 -9.9075 4.6534
As Rh Ce Ir
3 4 2 1
Direct
0.5000 0.0000 0.8738
0.0000 0.0000 0.5000
0.0000 0.5000 0.1262
0.0000 0.5000 0.3353
0.5000 0.5000 0.0000
0.0000 0.0000 0.0000
0.5000 0.0000 0.6647
0.0000 0.5000 0.7293
0.5000 0.0000 0.2707
0.5000 0.5000 0.5000
```


Let's list DFT formation energy in order: 0.153 -0.228 -0.774 eV/atom.
Let's list total energy in order: -24.29 -120.29 -71.82 eV per cell.